Record 1
{
  "formula": "Rb2ScNbSe6",
  "functional": "PBE",
  "state": "optimized geometry",
  "energy_ev_per_atom": -4.867,
  "volume_a3_per_atom": 28.308,
  "lattice_angstrom": [[7.3672, 0.0000, 0.0000], [0.0000, 7.3729, 0.0000], [-7.3402, 0.0000, 10.4232]],
  "species": ["Se", "Se", "Se", "Se", "Se", "Se", "Se", "Se", "Se", "Se", "Se", "Se", "Nb", "Nb", "Rb", "Rb", "Rb", "Rb", "Sc", "Sc"],
  "fractional_positions": [[0.7547, 0.4997, 0.2540], [0.7527, 0.7454, 0.4996], [0.2453, 0.7525, 0.0002], [0.2473, 0.2454, 0.0004], [0.7527, 0.7546, 0.9996], [0.2453, 0.9997, 0.2460], [0.7547, 0.2525, 0.4998], [0.2453, 0.7475, 0.5002], [0.2473, 0.2546, 0.5004], [0.7547, 0.0003, 0.7540], [0.7547, 0.2475, 0.9998], [0.2453, 0.5003, 0.7460], [0.0000, 0.0000, 0.0000], [0.0000, 0.5000, 0.5000], [0.2492, 0.0005, 0.7500], [0.7508, 0.9995, 0.2500], [0.7508, 0.5005, 0.7500], [0.2492, 0.4995, 0.2500], [0.5000, 0.5000, 0.0000], [0.5000, 0.0000, 0.5000]]
}

---

Record 2
{
  "formula": "RbNb3Se5",
  "functional": "PBE",
  "state": "optimized geometry",
  "energy_ev_per_atom": -6.166,
  "volume_a3_per_atom": 25.833,
  "lattice_angstrom": [[5.8474, 0.0000, 0.0000], [-2.9237, 5.0640, 0.0000], [0.0000, 0.0000, 7.8516]],
  "species": ["Se", "Se", "Se", "Se", "Se", "Nb", "Nb", "Nb", "Rb"],
  "fractional_positions": [[0.6667, 0.3333, 0.7596], [0.0000, 0.0000, 0.5000], [0.3333, 0.6667, 0.7596], [0.6667, 0.3333, 0.2404], [0.3333, 0.6667, 0.2404], [0.0000, 0.5000, 0.5000], [0.5000, 0.5000, 0.5000], [0.5000, 0.0000, 0.5000], [0.0000, 0.0000, 0.0000]]
}

---

Record 3
{
  "formula": "Rb2NbSe3",
  "functional": "PBE",
  "state": "optimized geometry",
  "energy_ev_per_atom": -4.837,
  "volume_a3_per_atom": 37.133,
  "lattice_angstrom": [[7.1737, -3.7423, 0.0000], [7.1737, 3.7423, 0.0000], [-6.0720, 0.0000, 8.2991]],
  "species": ["Se", "Se", "Se", "Se", "Se", "Se", "Rb", "Rb", "Rb", "Rb", "Nb", "Nb"],
  "fractional_positions": [[0.2005, 0.2005, 0.7761], [0.3898, 0.3898, 0.5966], [0.7995, 0.7995, 0.2239], [0.2311, 0.7689, 0.0000], [0.6102, 0.6102, 0.4034], [0.7689, 0.2311, 0.0000], [0.3053, 0.3053, 0.1868], [0.9142, 0.9142, 0.6372], [0.0858, 0.0858, 0.3628], [0.6947, 0.6947, 0.8132], [0.6095, 0.6095, 0.1675], [0.3905, 0.3905, 0.8325]]
}

---

Record 4
{
  "formula": "Rb2NbSe3",
  "functional": "PBE",
  "state": "optimized geometry",
  "energy_ev_per_atom": -4.838,
  "volume_a3_per_atom": 36.753,
  "lattice_angstrom": [[-0.6710, 5.9338, 4.3483], [-6.9202, 3.6659, -0.7256], [-4.5388, -1.9537, 7.4967]],
  "species": ["Rb", "Rb", "Rb", "Rb", "Se", "Se", "Se", "Se", "Se", "Se", "Nb", "Nb"],
  "fractional_positions": [[0.3367, 0.5650, 0.3071], [0.9117, 0.8075, 0.8615], [0.6633, 0.4350, 0.6929], [0.0883, 0.1925, 0.1385], [0.1684, 0.3708, 0.7204], [0.8316, 0.6292, 0.2796], [0.6133, 0.1784, 0.0935], [0.2607, 0.9511, 0.4859], [0.3867, 0.8216, 0.9065], [0.7393, 0.0489, 0.5141], [0.3787, 0.0525, 0.6670], [0.6213, 0.9475, 0.3330]]
}

---

Record 5
{
  "formula": "Rb2TaNbSe6",
  "functional": "PBE",
  "state": "optimized geometry",
  "energy_ev_per_atom": -5.253,
  "volume_a3_per_atom": 27.146,
  "lattice_angstrom": [[-5.9109, -3.2599, 2.6938], [-6.5140, 1.2569, -2.9681], [-3.3257, -5.2198, -3.8098]],
  "species": ["Rb", "Rb", "Se", "Se", "Se", "Se", "Se", "Se", "Ta", "Nb"],
  "fractional_positions": [[0.2500, 0.2500, 0.2500], [0.7500, 0.7500, 0.7500], [0.2491, 0.2491, 0.7509], [0.7509, 0.7509, 0.2491], [0.7509, 0.2491, 0.7509], [0.7509, 0.2491, 0.2491], [0.2491, 0.7509, 0.2491], [0.2491, 0.7509, 0.7509], [0.0000, 0.0000, 0.0000], [0.5000, 0.5000, 0.5000]]
}

---

Record 6
{
  "formula": "Rb2NbTcSe6",
  "functional": "PBE",
  "state": "optimized geometry",
  "energy_ev_per_atom": -4.827,
  "volume_a3_per_atom": 26.217,
  "lattice_angstrom": [[0.0000, 5.0799, 5.0799], [5.0799, 0.0000, 5.0799], [5.0799, 5.0799, 0.0000]],
  "species": ["Se", "Se", "Se", "Se", "Se", "Se", "Nb", "Tc", "Rb", "Rb"],
  "fractional_positions": [[0.2524, 0.2524, 0.7476], [0.7476, 0.2524, 0.7476], [0.7476, 0.7476, 0.2524], [0.2524, 0.7476, 0.7476], [0.7476, 0.2524, 0.2524], [0.2524, 0.7476, 0.2524], [0.0000, 0.0000, 0.0000], [0.5000, 0.5000, 0.5000], [0.7500, 0.7500, 0.7500], [0.2500, 0.2500, 0.2500]]
}

---

Record 7
{
  "formula": "Rb3NbTeSe3",
  "functional": "PBE",
  "state": "optimized geometry",
  "energy_ev_per_atom": -4.356,
  "volume_a3_per_atom": 38.364,
  "lattice_angstrom": [[5.7601, 3.3256, 2.6704], [-5.7601, 3.3256, 2.6704], [0.0000, -6.6512, 2.6704]],
  "species": ["Rb", "Rb", "Rb", "Se", "Se", "Se", "Nb", "Te"],
  "fractional_positions": [[0.5130, 0.5130, 0.0624], [0.5130, 0.0624, 0.5130], [0.0624, 0.5130, 0.5130], [0.9769, 0.3183, 0.9769], [0.9769, 0.9769, 0.3183], [0.3183, 0.9769, 0.9769], [0.9878, 0.9878, 0.9878], [0.6518, 0.6518, 0.6518]]
}

---

Record 8
{
  "formula": "Rb3NbTe2Se2",
  "functional": "PBE",
  "state": "optimized geometry",
  "energy_ev_per_atom": -4.239,
  "volume_a3_per_atom": 41.029,
  "lattice_angstrom": [[0.0000, 6.4578, 4.4097], [5.7631, 0.0000, 4.4097], [5.7631, 6.4578, 0.0000]],
  "species": ["Rb", "Rb", "Rb", "Se", "Se", "Te", "Te", "Nb"],
  "fractional_positions": [[0.9402, 0.9402, 0.5598], [0.4402, 0.4402, 0.0598], [0.5289, 0.5289, 0.4711], [0.0230, 0.6867, 0.9770], [0.6867, 0.0230, 0.3133], [0.0100, 0.3560, 0.6440], [0.3560, 0.0100, 0.9900], [0.0151, 0.0151, 0.9849]]
}

---

Record 9
{
  "formula": "Rb2NbTe2Se",
  "functional": "PBE",
  "state": "optimized geometry",
  "energy_ev_per_atom": -4.513,
  "volume_a3_per_atom": 42.175,
  "lattice_angstrom": [[7.6470, 0.0000, 0.0000], [3.0679, 7.6790, 0.0000], [3.3664, 1.0881, 8.6188]],
  "species": ["Te", "Te", "Te", "Te", "Rb", "Rb", "Rb", "Rb", "Nb", "Nb", "Se", "Se"],
  "fractional_positions": [[0.3860, 0.8139, 0.9067], [0.6140, 0.1861, 0.0933], [0.1686, 0.3705, 0.7210], [0.8314, 0.6295, 0.2790], [0.0915, 0.1839, 0.1464], [0.3382, 0.5720, 0.3109], [0.9085, 0.8161, 0.8536], [0.6618, 0.4280, 0.6891], [0.6137, 0.9525, 0.3428], [0.3863, 0.0475, 0.6572], [0.7341, 0.0468, 0.5165], [0.2659, 0.9532, 0.4835]]
}

---

Record 10
{
  "formula": "Rb2NbTlSe4",
  "functional": "PBE",
  "state": "optimized geometry",
  "energy_ev_per_atom": -4.483,
  "volume_a3_per_atom": 34.711,
  "lattice_angstrom": [[-4.1840, 4.1840, 3.9657], [4.1840, -4.1840, 3.9657], [4.1840, 4.1840, -3.9657]],
  "species": ["Rb", "Rb", "Tl", "Se", "Se", "Se", "Se", "Nb"],
  "fractional_positions": [[0.5000, 0.0000, 0.5000], [0.0000, 0.5000, 0.5000], [0.5000, 0.5000, 0.0000], [0.6506, 0.6506, 0.6736], [0.0230, 0.3494, 0.0000], [0.3494, 0.0230, 0.0000], [0.9770, 0.9770, 0.3264], [0.0000, 0.0000, 0.0000]]
}

---

Record 11
{
  "formula": "RbTmNbSe3",
  "functional": "PBE",
  "state": "optimized geometry",
  "volume_a3_per_atom": 29.819,
  "e_above_lowest_polymorph_ev_per_fu": 0.00,
  "lattice_angstrom": [[9.5187, 0.0000, 0.0000], [0.0000, 3.9497, 0.0000], [-3.5503, 0.0000, 9.5179]],
  "species": ["Se", "Se", "Se", "Se", "Se", "Se", "Tm", "Tm", "Nb", "Nb", "Rb", "Rb"],
  "fractional_positions": [[0.4666, 0.2500, 0.6544], [0.1179, 0.7500, 0.3673], [0.5334, 0.7500, 0.3456], [0.8821, 0.2500, 0.6327], [0.7773, 0.7500, 0.9568], [0.2227, 0.2500, 0.0432], [0.3337, 0.2500, 0.3626], [0.6663, 0.7500, 0.6374], [0.9385, 0.2500, 0.8991], [0.0615, 0.7500, 0.1009], [0.7750, 0.2500, 0.2531], [0.2250, 0.7500, 0.7469]]
}

---

Record 12
{
  "formula": "RbTmNbSe3",
  "functional": "PBE",
  "state": "optimized geometry",
  "volume_a3_per_atom": 28.605,
  "e_above_lowest_polymorph_ev_per_fu": 0.70,
  "lattice_angstrom": [[2.0487, -7.8296, 0.0000], [2.0487, 7.8296, 0.0000], [0.0000, 0.0000, 10.6998]],
  "species": ["Se", "Se", "Se", "Se", "Se", "Se", "Tm", "Tm", "Rb", "Rb", "Nb", "Nb"],
  "fractional_positions": [[0.4314, 0.5686, 0.2500], [0.8778, 0.1222, 0.5520], [0.1222, 0.8778, 0.4480], [0.8778, 0.1222, 0.9480], [0.1222, 0.8778, 0.0520], [0.5686, 0.4314, 0.7500], [0.5000, 0.5000, 0.0000], [0.5000, 0.5000, 0.5000], [0.7556, 0.2444, 0.2500], [0.2444, 0.7556, 0.7500], [0.9681, 0.0319, 0.7500], [0.0319, 0.9681, 0.2500]]
}